# FeTcHIr2 | Alexandria | GGA-PBE | relaxed
data_FeTcHIr2
_cell_length_a 3.871
_cell_length_b 3.871
_cell_length_c 3.847
_cell_angle_alpha 90.00
_cell_angle_beta 90.00
_cell_angle_gamma 90.00
_symmetry_space_group_name_H-M 'P 4/m m m'
_symmetry_Int_Tables_number 123
_symmetry_space_group_name_Hall '-P 4 2'
loop_
_atom_site_label
_atom_site_fract_x
_atom_site_fract_y
_atom_site_fract_z
_atom_site_occupancy
Fe1 0.000 0.000 0.000 1
Tc1 0.500 0.500 0.000 1
H1 0.000 0.000 0.500 1
Ir1 0.000 0.500 0.500 1
# Magnetic moment   1.7 μB per cell
# N(E_F)   1.0586 states/eV per atom
# Final energy   -39.5 eV per cell
# Mass density   15.536 g cm⁻³

***

# FeTc2HIr | Alexandria | GGA-PBE | relaxed
data_FeTc2HIr
_cell_length_a 3.849
_cell_length_b 3.849
_cell_length_c 3.797
_cell_angle_alpha 90.00
_cell_angle_beta 90.00
_cell_angle_gamma 90.00
_symmetry_space_group_name_H-M 'P 4/m m m'
_symmetry_Int_Tables_number 123
_symmetry_space_group_name_Hall '-P 4 2'
loop_
_atom_site_label
_atom_site_fract_x
_atom_site_fract_y
_atom_site_fract_z
_atom_site_occupancy
Fe1 0.000 0.000 0.000 1
Tc1 0.000 0.500 0.500 1
H1 0.000 0.000 0.500 1
Ir1 0.500 0.500 0.000 1
# Magnetic moment   0.3 μB per cell
# N(E_F)   0.8827 states/eV per atom
# Final energy   -41.4 eV per cell
# Mass density   13.141 g cm⁻³

***

# Fe2TcHIr | Alexandria | GGA-PBE | relaxed
data_Fe2TcHIr
_cell_length_a 3.720
_cell_length_b 3.720
_cell_length_c 3.755
_cell_angle_alpha 90.00
_cell_angle_beta 90.00
_cell_angle_gamma 90.00
_symmetry_space_group_name_H-M 'P 4/m m m'
_symmetry_Int_Tables_number 123
_symmetry_space_group_name_Hall '-P 4 2'
loop_
_atom_site_label
_atom_site_fract_x
_atom_site_fract_y
_atom_site_fract_z
_atom_site_occupancy
Fe1 0.000 0.500 0.000 1
Tc1 0.000 0.000 0.500 1
H1 0.000 0.000 0.000 1
Ir1 0.500 0.500 0.500 1
# Magnetic moment   0.0 μB per cell
# N(E_F)   0.9269 states/eV per atom
# Final energy   -39.3 eV per cell
# Mass density   12.880 g cm⁻³

***

# TlFe2HIr | Alexandria | GGA-PBE | relaxed
data_TlFe2HIr
_cell_length_a 5.015
_cell_length_b 5.015
_cell_length_c 5.052
_cell_angle_alpha 90.00
_cell_angle_beta 90.00
_cell_angle_gamma 90.00
_symmetry_space_group_name_H-M 'P 4/m m m'
_symmetry_Int_Tables_number 123
_symmetry_space_group_name_Hall '-P 4 2'
loop_
_atom_site_label
_atom_site_fract_x
_atom_site_fract_y
_atom_site_fract_z
_atom_site_occupancy
Tl1 0.000 0.000 0.000 1
Fe1 0.000 0.500 0.000 1
H1 0.500 0.500 0.500 1
Ir1 0.000 0.000 0.500 1
# Magnetic moment   7.9 μB per cell
# N(E_F)   1.4927 states/eV per atom
# Final energy   -19.5 eV per cell
# Mass density   6.655 g cm⁻³

***

# VFeH2Ir | Alexandria | GGA-PBE | relaxed
data_VFeH2Ir
_cell_length_a 3.403
_cell_length_b 3.403
_cell_length_c 4.987
_cell_angle_alpha 90.00
_cell_angle_beta 90.00
_cell_angle_gamma 90.00
_symmetry_space_group_name_H-M 'P 4/m m m'
_symmetry_Int_Tables_number 123
_symmetry_space_group_name_Hall '-P 4 2'
loop_
_atom_site_label
_atom_site_fract_x
_atom_site_fract_y
_atom_site_fract_z
_atom_site_occupancy
V1 0.000 0.000 0.000 1
Fe1 0.500 0.500 0.500 1
H1 0.000 0.500 0.500 1
Ir1 0.500 0.500 0.000 1
# Magnetic moment   1.4 μB per cell
# N(E_F)   0.9081 states/eV per atom
# Final energy   -30.4 eV per cell
# Mass density   8.656 g cm⁻³

***

# V2FeHIr | Alexandria | GGA-PBE | relaxed
data_V2FeHIr
_cell_length_a 3.853
_cell_length_b 3.853
_cell_length_c 3.582
_cell_angle_alpha 90.00
_cell_angle_beta 90.00
_cell_angle_gamma 90.00
_symmetry_space_group_name_H-M 'P 4/m m m'
_symmetry_Int_Tables_number 123
_symmetry_space_group_name_Hall '-P 4 2'
loop_
_atom_site_label
_atom_site_fract_x
_atom_site_fract_y
_atom_site_fract_z
_atom_site_occupancy
V1 0.000 0.500 0.000 1
Fe1 0.000 0.000 0.500 1
H1 0.000 0.000 0.000 1
Ir1 0.500 0.500 0.500 1
# Magnetic moment   0.0 μB per cell
# N(E_F)   1.3384 states/eV per atom
# Final energy   -40.2 eV per cell
# Mass density   10.958 g cm⁻³

***

# VFe2HIr | Alexandria | GGA-PBE | relaxed
data_VFe2HIr
_cell_length_a 3.645
_cell_length_b 3.645
_cell_length_c 3.767
_cell_angle_alpha 90.00
_cell_angle_beta 90.00
_cell_angle_gamma 90.00
_symmetry_space_group_name_H-M 'P 4/m m m'
_symmetry_Int_Tables_number 123
_symmetry_space_group_name_Hall '-P 4 2'
loop_
_atom_site_label
_atom_site_fract_x
_atom_site_fract_y
_atom_site_fract_z
_atom_site_occupancy
V1 0.000 0.000 0.000 1
Fe1 0.000 0.500 0.500 1
H1 0.000 0.000 0.500 1
Ir1 0.500 0.500 0.000 1
# Magnetic moment   0.6 μB per cell
# N(E_F)   0.8932 states/eV per atom
# Final energy   -39.2 eV per cell
# Mass density   11.807 g cm⁻³

***

# VFeHIr2 | Alexandria | GGA-PBE | relaxed
data_VFeHIr2
_cell_length_a 3.847
_cell_length_b 3.847
_cell_length_c 3.730
_cell_angle_alpha 90.00
_cell_angle_beta 90.00
_cell_angle_gamma 90.00
_symmetry_space_group_name_H-M 'P 4/m m m'
_symmetry_Int_Tables_number 123
_symmetry_space_group_name_Hall '-P 4 2'
loop_
_atom_site_label
_atom_site_fract_x
_atom_site_fract_y
_atom_site_fract_z
_atom_site_occupancy
V1 0.000 0.000 0.000 1
Fe1 0.500 0.500 0.000 1
H1 0.500 0.500 0.500 1
Ir1 0.000 0.500 0.500 1
# Magnetic moment   0.3 μB per cell
# N(E_F)   0.4884 states/eV per atom
# Final energy   -39.6 eV per cell
# Mass density   14.808 g cm⁻³

***

# VFeHIr2 | Alexandria | GGA-PBE | relaxed
data_VFeHIr2
_cell_length_a 3.864
_cell_length_b 3.864
_cell_length_c 3.821
_cell_angle_alpha 90.00
_cell_angle_beta 90.00
_cell_angle_gamma 90.00
_symmetry_space_group_name_H-M 'P 4/m m m'
_symmetry_Int_Tables_number 123
_symmetry_space_group_name_Hall '-P 4 2'
loop_
_atom_site_label
_atom_site_fract_x
_atom_site_fract_y
_atom_site_fract_z
_atom_site_occupancy
V1 0.000 0.000 0.000 1
Fe1 0.500 0.500 0.000 1
H1 0.000 0.000 0.500 1
Ir1 0.000 0.500 0.500 1
# Magnetic moment   1.3 μB per cell
# N(E_F)   0.8018 states/eV per atom
# Final energy   -39.5 eV per cell
# Mass density   14.330 g cm⁻³

***

# V2FeHIr | Alexandria | GGA-PBE | relaxed
data_V2FeHIr
_cell_length_a 3.796
_cell_length_b 3.796
_cell_length_c 3.791
_cell_angle_alpha 90.00
_cell_angle_beta 90.00
_cell_angle_gamma 90.00
_symmetry_space_group_name_H-M 'P 4/m m m'
_symmetry_Int_Tables_number 123
_symmetry_space_group_name_Hall '-P 4 2'
loop_
_atom_site_label
_atom_site_fract_x
_atom_site_fract_y
_atom_site_fract_z
_atom_site_occupancy
V1 0.000 0.500 0.000 1
Fe1 0.000 0.000 0.500 1
H1 0.500 0.500 0.000 1
Ir1 0.500 0.500 0.500 1
# Magnetic moment   1.1 μB per cell
# N(E_F)   0.8880 states/eV per atom
# Final energy   -39.7 eV per cell
# Mass density   10.671 g cm⁻³

***

# VFe2HIr | Alexandria | GGA-PBE | relaxed
data_VFe2HIr
_cell_length_a 3.739
_cell_length_b 3.739
_cell_length_c 3.782
_cell_angle_alpha 90.00
_cell_angle_beta 90.00
_cell_angle_gamma 90.00
_symmetry_space_group_name_H-M 'P 4/m m m'
_symmetry_Int_Tables_number 123
_symmetry_space_group_name_Hall '-P 4 2'
loop_
_atom_site_label
_atom_site_fract_x
_atom_site_fract_y
_atom_site_fract_z
_atom_site_occupancy
V1 0.000 0.000 0.000 1
Fe1 0.000 0.500 0.500 1
H1 0.500 0.500 0.500 1
Ir1 0.500 0.500 0.000 1
# Magnetic moment   2.7 μB per cell
# N(E_F)   0.7406 states/eV per atom
# Final energy   -39.0 eV per cell
# Mass density   11.172 g cm⁻³

***

# Fe2HIrW | Alexandria | GGA-PBE | relaxed
data_Fe2HIrW
_cell_length_a 3.776
_cell_length_b 3.776
_cell_length_c 3.733
_cell_angle_alpha 90.00
_cell_angle_beta 90.00
_cell_angle_gamma 90.00
_symmetry_space_group_name_H-M 'P 4/m m m'
_symmetry_Int_Tables_number 123
_symmetry_space_group_name_Hall '-P 4 2'
loop_
_atom_site_label
_atom_site_fract_x
_atom_site_fract_y
_atom_site_fract_z
_atom_site_occupancy
Fe1 0.000 0.500 0.000 1
H1 0.000 0.000 0.000 1
Ir1 0.000 0.000 0.500 1
W1 0.500 0.500 0.500 1
# Magnetic moment   0.0 μB per cell
# N(E_F)   0.5501 states/eV per atom
# Final energy   -42.3 eV per cell
# Mass density   15.252 g cm⁻³